1.
## LiCe2Al3 (PBE)

Data for an optimized crystal structure of LiCe2Al3.

Results
**Energy relative to the lowest polymorph listed for this composition**: 0.000 eV/atom
**E_form**: -341.0 meV/atom
**Magnetic moment**: 2.9 μB per cell
**Total energy**: -4.509 eV per atom

a b c (Å): 5.7454 5.7454 8.8325
angles (deg): 90.00 90.00 120.00
Space group P6_3/mmc (No. 194)
Unique sites:
Li (0.0000, 0.0000, 0.0000) [2 per cell]
Ce (0.3333, 0.6667, 0.0898) [4 per cell]
Al (0.1707, 0.3414, 0.7500) [6 per cell]



2.
## LiCeAl (PBE)

Data for an optimized crystal structure of LiCeAl.

Results
**Energy relative to the lowest polymorph listed for this composition**: 0.030 eV/atom
**E_form**: -112.5 meV/atom
**Magnetic moment**: 1.1 μB per cell
**Total energy**: -3.976 eV per atom

a b c (Å): 3.072 3.072 25.056
angles (deg): 90.00 90.00 90.00
Space group I4/mmm (No. 139)
Unique sites:
Li (0.000, 0.000, 0.216) [4 per cell]
Ce (0.000, 0.000, 0.054) [4 per cell]
Al (0.000, 0.000, 0.351) [4 per cell]



3.
## LiCe2Al (PBE)

Data for an optimized crystal structure of LiCe2Al.

Results
**E_form**: 55.3 meV/atom
**Magnetic moment**: 0.0 μB per cell
**Total energy**: -4.326 eV per atom

a b c (Å): 3.0244 3.0244 35.1886
angles (deg): 90.00 90.00 120.00
Space group R-3m (No. 166, hexagonal axes)
Unique sites:
Li (0.0000, 0.0000, 0.0000) [3 per cell]
Ce (0.0000, 0.0000, 0.0902) [6 per cell]
Al (0.0000, 0.0000, 0.5000) [3 per cell]



4.
## LiCe2Al (PBE)

Data for an optimized crystal structure of LiCe2Al.

Results
**E_form**: -70.3 meV/atom
**Magnetic moment**: 0.0 μB per cell
**Total energy**: -4.451 eV per atom

a b c (Å): 4.347 4.347 4.731
angles (deg): 90.00 90.00 90.00
Space group P4/mmm (No. 123)
Unique sites:
Li (0.000, 0.000, 0.000) [1 per cell]
Ce (0.000, 0.500, 0.500) [2 per cell]
Al (0.500, 0.500, 0.000) [1 per cell]